# 1
Below is an optimized crystal structure of Tc2P3, with properties calculated at the GGA-PBE level.

## Properties
SG: R-3c (167)
DFT formation energy, eV per atom: -0.3826
Relative energy among the computed polymorphs, meV per atom: 156

Cell: 5.7307 5.7307 6.5265 Å, 63.96 63.96 60.00°
Atoms (fractional coordinates):
Tc 0.3335 0.3335 0.9994
P 0.7500 0.3956 0.7500
Tc 0.8335 0.8335 0.4994
Tc 0.1665 0.1665 0.5006
Tc 0.6665 0.6665 0.0006
P 0.8956 0.2500 0.2500
P 0.3956 0.1044 0.7500
P 0.1044 0.7500 0.7500
P 0.6044 0.8956 0.2500
P 0.2500 0.6044 0.2500

# 2
Below is an optimized crystal structure of Ta2Ru3, with properties calculated at the GGA-PBE level.

## Properties
SG: R-3m (166)
DFT formation energy, eV per atom: 0.0946
Relative energy among the computed polymorphs, meV per atom: 338

Cell: 10.4517 10.4517 10.4517 Å, 16.68 16.68 16.68°
Atoms (fractional coordinates):
Ru 0.2039 0.2039 0.2039
Ru 0.0000 0.0000 0.0000
Ru 0.7961 0.7961 0.7961
Ta 0.4009 0.4009 0.4009
Ta 0.5991 0.5991 0.5991

# 3
Below is an optimized crystal structure of K2BiSeN, with properties calculated at the GGA-PBE level.

## Properties
SG: P4/mmm (123)
Uncorrected formation energy, meV per atom: 792

Cell: 6.0682 5.5500 6.0682 Å, 90.00 90.00 90.00°
Atoms (fractional coordinates):
K 0.0000 0.0000 0.5000
N 0.5000 0.5000 0.5000
Bi 0.0000 0.5000 0.0000
K 0.5000 0.0000 0.0000
Se 0.0000 0.0000 0.0000

# 4
Below is an optimized crystal structure of TlIn2Re, with properties calculated at the GGA-PBE level.

## Properties
SG: I-4m2 (119)
DFT formation energy, eV per atom: 0.7708
Relative energy among the computed polymorphs, meV per atom: 318

Cell: 5.4012 5.4012 5.4012 Å, 132.85 132.85 68.89°
Atoms (fractional coordinates):
Re 0.5000 0.5000 0.0000
In 0.0000 0.0000 0.0000
Tl 0.7500 0.2500 0.5000
In 0.2500 0.7500 0.5000